A geometry-optimized YBe3Cr structure. Source: Alexandria via LeMat-Bulk, functional PBE-GGA.

## Properties
The total magnetization is 0.95 μB/f.u. Its energy of formation from the pure elements is 457 meV/atom. The value obtained for the relative energy among the computed polymorphs is 0 meV per atom.

Cell lengths 4.210, 4.210, 4.210 Å; angles 90.00, 90.00, 90.00 degrees
Sites, in units of the cell vectors:
Y 0.000 0.000 0.000
Be 0.000 0.500 0.500
Be 0.500 0.000 0.500
Be 0.500 0.500 0.000
Cr 0.500 0.500 0.500

=====

A geometry-optimized In2CuAsIr structure. Source: Alexandria via LeMat-Bulk, functional PBE-GGA.

## Properties
The total magnetization is 0.00 μB/f.u. Its energy of formation from the pure elements is 822 meV/atom.

Cell lengths 4.926, 4.926, 4.431 Å; angles 90.00, 90.00, 90.00 degrees
Sites, in units of the cell vectors:
In 0.000 0.500 0.000
In 0.500 0.000 0.000
Cu 0.000 0.000 0.000
As 0.000 0.000 0.500
Ir 0.500 0.500 0.500

=====

A geometry-optimized Sr2Ag4HgSb3 structure. Source: Alexandria via LeMat-Bulk, functional PBE-GGA.

## Properties
The energy relative to the elements, uncorrected comes out at -394 kJ/mol of formula units. The total magnetization is 0.00 μB/f.u.

Cell lengths 4.637, 4.637, 12.189 Å; angles 90.00, 90.00, 90.00 degrees
Sites, in units of the cell vectors:
Sr 0.000 0.500 0.239
Sr 0.500 0.000 0.761
Ag 0.000 0.000 0.000
Ag 0.000 0.500 0.641
Ag 0.500 0.000 0.359
Ag 0.500 0.500 0.000
Hg 0.000 0.000 0.500
Sb 0.000 0.500 0.862
Sb 0.500 0.000 0.138
Sb 0.500 0.500 0.500

=====

A geometry-optimized Ce2Pm2Co3 structure. Source: Alexandria via LeMat-Bulk, functional PBE-GGA.

## Properties
The total magnetization is 0.00 μB/f.u. Its energy of formation from the pure elements is -153 meV/atom.

Cell lengths 5.971, 5.971, 8.763 Å; angles 126.35, 126.35, 38.40 degrees
Sites, in units of the cell vectors:
Ce 0.102 0.102 0.410
Ce 0.898 0.898 0.590
Pm 0.201 0.201 0.119
Pm 0.799 0.799 0.881
Co 0.497 0.497 0.818
Co 0.500 0.500 0.500
Co 0.503 0.503 0.182

=====

A geometry-optimized Na2EuGe structure. Source: Alexandria via LeMat-Bulk, functional PBE-GGA.

## Properties
The total magnetization is 8.15 μB/f.u. Its energy of formation from the pure elements is 240 meV/atom.

Cell lengths 12.262, 12.262, 12.262 Å; angles 16.23, 16.23, 16.23 degrees
Sites, in units of the cell vectors:
Na 0.100 0.100 0.100
Na 0.900 0.900 0.900
Eu 0.000 0.000 0.000
Ge 0.500 0.500 0.500

=====

A geometry-optimized AlSbPd2S structure. Source: Alexandria via LeMat-Bulk, functional PBE-GGA.

## Properties
The energy relative to the elements, uncorrected comes out at 229 kJ/mol of formula units. The total magnetization is 0.00 μB/f.u.

Cell lengths 4.553, 4.553, 5.444 Å; angles 90.00, 90.00, 90.00 degrees
Sites, in units of the cell vectors:
Al 0.000 0.000 0.000
Sb 0.000 0.000 0.500
Pd 0.000 0.500 0.000
Pd 0.500 0.000 0.000
S 0.500 0.500 0.500

=====

A geometry-optimized CoIrN structure. Source: Alexandria via LeMat-Bulk, functional PBE-GGA.

## Properties
The energy relative to the elements, uncorrected comes out at 159 kJ/mol of formula units. The total magnetization is 1.35 μB/f.u. The value obtained for the relative energy among the computed polymorphs is 308 meV per atom.

Cell lengths 3.818, 3.818, 3.699 Å; angles 100.30, 100.30, 42.39 degrees
Sites, in units of the cell vectors:
Co 0.000 0.000 0.000
Ir 0.676 0.676 0.561
N 0.947 0.947 0.481

=====

A geometry-optimized YCuSi2 structure. Source: Alexandria via LeMat-Bulk, functional PBE-GGA.

## Properties
The energy relative to the elements, uncorrected comes out at -172 kJ/mol of formula units. The total magnetization is 0.00 μB/f.u.

Cell lengths 4.134, 4.134, 5.384 Å; angles 109.05, 109.05, 55.19 degrees
Sites, in units of the cell vectors:
Y 0.000 0.000 0.000
Cu 0.500 0.500 0.500
Si 0.226 0.226 0.640
Si 0.774 0.774 0.360